Entry 1:
First-principles (PBE-GGA) data for crystalline CrSnN2 at its relaxed geometry, as listed in Alexandria via LeMat-Bulk.

As for the crystal system: orthorhombic. Its uncorrected formation energy is 0.783 eV/f.u.

The space group is Amm2 (No. 38) and the conventional cell measures 3.9009, 2.7271 and 12.0889 Å, with angles of 90.00, 90.00 and 90.00 degrees. The inequivalent atoms are Cr at (0.0000, 0.0000, 0.0000), Sn at (0.0000, 0.0000, 0.7085) and N at (0.3407, 0.0000, 0.4708).

***

Entry 2:
First-principles (PBE-GGA) data for crystalline HfTaTcOs at its relaxed geometry, as listed in Alexandria via LeMat-Bulk.

For the relative energy among the computed polymorphs, the calculation gives 0.0 kJ/mol of atoms. As for the crystal system: cubic.

The space group is F-43m (No. 216) and the conventional cell measures 6.4354, 6.4354 and 6.4354 Å, with angles of 90.00, 90.00 and 90.00 degrees. The inequivalent atoms are Hf at (0.0000, 0.0000, 0.0000), Ta at (0.0000, 0.0000, 0.5000), Tc at (0.2500, 0.2500, 0.7500) and Os at (0.2500, 0.2500, 0.2500).

***

Entry 3:
First-principles (PBE-GGA) data for crystalline UCoRh at its relaxed geometry, as listed in Alexandria via LeMat-Bulk.

For the relative energy among the computed polymorphs, the calculation gives 9.4 kJ/mol of atoms. As for the crystal system: trigonal.

The space group is P3m1 (No. 156) and the conventional cell measures 4.4057, 4.4057 and 2.8752 Å, with angles of 90.00, 90.00 and 120.00 degrees. The inequivalent atoms are U at (0.0000, 0.0000, 0.0000), Co at (0.3333, 0.6667, 0.7430) and Rh at (0.6667, 0.3333, 0.3434).

***

Entry 4:
First-principles (PBE-GGA) data for crystalline YBe2NiSn at its relaxed geometry, as listed in Alexandria via LeMat-Bulk.

As for the crystal system: tetragonal. The uncorrected energy is -14.24 eV/cell.

The space group is P4/mmm (No. 123) and the conventional cell measures 4.8987, 4.8987 and 5.7208 Å, with angles of 90.00, 90.00 and 90.00 degrees. The inequivalent atoms are Y at (0.0000, 0.0000, 0.0000), Be at (0.0000, 0.5000, 0.0000), Ni at (0.5000, 0.5000, 0.5000) and Sn at (0.0000, 0.0000, 0.5000).